# TbPmHgRu (GGA-PBE, relaxed)
data_TbPmHgRu
_space_group_name_H-M_alt 'P 4 m m'
_space_group_IT_number 99
_space_group_name_Hall 'P 4 -2'
_cell_length_a 3.524
_cell_length_b 3.524
_cell_length_c 7.660
_cell_angle_alpha 90.00
_cell_angle_beta 90.00
_cell_angle_gamma 90.00
loop_
_atom_site_label
_atom_site_type_symbol
_atom_site_fract_x
_atom_site_fract_y
_atom_site_fract_z
_atom_site_occupancy
Tb1 Tb 0.000 0.000 0.000 1
Pm1 Pm 0.000 0.000 0.440 1
Hg1 Hg 0.500 0.500 0.730 1
Ru1 Ru 0.500 0.500 0.213 1
# - N(E_F): 3.4 states/eV per cell
# - Formation enthalpy at 0 K: -407 meV/atom
# - Crystal system: tetragonal
# - DFT total energy: -5.147 eV per atom

***

# SmHfTh2P4 (GGA-PBE, relaxed)
data_SmHfTh2P4
_space_group_name_H-M_alt 'P 1 2/m 1'
_space_group_IT_number 10
_space_group_name_Hall '-P 2y'
_cell_length_a 6.932
_cell_length_b 4.021
_cell_length_c 6.976
_cell_angle_alpha 90.00
_cell_angle_beta 109.37
_cell_angle_gamma 90.00
loop_
_atom_site_label
_atom_site_type_symbol
_atom_site_fract_x
_atom_site_fract_y
_atom_site_fract_z
_atom_site_occupancy
Sm1 Sm 0.000 0.000 0.000 1
Hf1 Hf 0.000 0.500 0.500 1
Th1 Th 0.500 0.000 0.500 1
Th2 Th 0.500 0.500 0.000 1
P1 P 0.230 0.000 0.732 1
P2 P 0.238 0.500 0.258 1
# - N(E_F): 2.7 states/eV per cell
# - Formation enthalpy at 0 K: -1445 meV/atom
# - Crystal system: monoclinic
# - DFT total energy: -7.839 eV per atom

***

# TbPuAg4 (GGA-PBE, relaxed)
data_TbPuAg4
_space_group_name_H-M_alt 'F -4 3 m'
_space_group_IT_number 216
_space_group_name_Hall 'F -4 2 3'
_cell_length_a 8.077
_cell_length_b 8.077
_cell_length_c 8.077
_cell_angle_alpha 90.00
_cell_angle_beta 90.00
_cell_angle_gamma 90.00
loop_
_atom_site_label
_atom_site_type_symbol
_atom_site_fract_x
_atom_site_fract_y
_atom_site_fract_z
_atom_site_occupancy
Tb1 Tb 0.000 0.000 0.000 1
Pu1 Pu 0.250 0.250 0.250 1
Ag1 Ag 0.125 0.125 0.625 1
# - N(E_F): 54.9 states/eV per cell
# - Formation enthalpy at 0 K: -44 meV/atom
# - Crystal system: cubic
# - DFT total energy: -5.105 eV per atom

***

# Ga3Cu13 (GGA-PBE, relaxed)
data_Ga3Cu13
_space_group_name_H-M_alt 'A m m 2'
_space_group_IT_number 38
_space_group_name_Hall 'A 2 -2'
_cell_length_a 5.257
_cell_length_b 8.426
_cell_length_c 9.057
_cell_angle_alpha 90.00
_cell_angle_beta 90.00
_cell_angle_gamma 90.00
loop_
_atom_site_label
_atom_site_type_symbol
_atom_site_fract_x
_atom_site_fract_y
_atom_site_fract_z
_atom_site_occupancy
Ga1 Ga 0.000 0.000 0.000 1
Ga2 Ga 0.252 0.000 0.274 1
Cu1 Cu 0.000 0.000 0.522 1
Cu2 Cu 0.000 0.249 0.346 1
Cu3 Cu 0.249 0.249 0.096 1
Cu4 Cu 0.253 0.000 0.761 1
Cu5 Cu 0.500 0.000 0.013 1
Cu6 Cu 0.500 0.000 0.521 1
Cu7 Cu 0.500 0.247 0.846 1
# - N(E_F): 12.7 states/eV per cell
# - Formation enthalpy at 0 K: -39 meV/atom
# - Crystal system: orthorhombic
# - DFT total energy: -3.935 eV per atom

***

# PuAg2Br3O3 (GGA-PBE, relaxed)
data_PuAg2Br3O3
_space_group_name_H-M_alt 'P -6 2 m'
_space_group_IT_number 189
_space_group_name_Hall 'P -6 -2'
_cell_length_a 8.1581
_cell_length_b 8.1581
_cell_length_c 3.1604
_cell_angle_alpha 90.00
_cell_angle_beta 90.00
_cell_angle_gamma 120.00
loop_
_atom_site_label
_atom_site_type_symbol
_atom_site_fract_x
_atom_site_fract_y
_atom_site_fract_z
_atom_site_occupancy
Pu1 Pu 0.0000 0.0000 0.0000 1
Ag1 Ag 0.3333 0.6667 0.5000 1
Br1 Br 0.0000 0.4268 0.0000 1
O1 O 0.0000 0.8244 0.5000 1
# - N(E_F): 6.5 states/eV per cell
# - Formation energy from raw total energies: -0.95 eV/atom
# - Crystal system: hexagonal
# - DFT total energy: -5.384 eV per atom

***

# MnCr2Ir (GGA-PBE, relaxed)
data_MnCr2Ir
_space_group_name_H-M_alt 'P m m m'
_space_group_IT_number 47
_space_group_name_Hall '-P 2 2'
_cell_length_a 2.646
_cell_length_b 3.601
_cell_length_c 5.224
_cell_angle_alpha 90.00
_cell_angle_beta 90.00
_cell_angle_gamma 90.00
loop_
_atom_site_label
_atom_site_type_symbol
_atom_site_fract_x
_atom_site_fract_y
_atom_site_fract_z
_atom_site_occupancy
Mn1 Mn 0.000 0.000 0.000 1
Cr1 Cr 0.500 0.500 0.238 1
Ir1 Ir 0.000 0.000 0.500 1
# - N(E_F): 4.8 states/eV per cell
# - Formation enthalpy at 0 K: -10 meV/atom
# - Crystal system: orthorhombic
# - DFT total energy: -9.329 eV per atom

***

# HoSc3Co (GGA-PBE, relaxed)
data_HoSc3Co
_space_group_name_H-M_alt 'I m m a'
_space_group_IT_number 74
_space_group_name_Hall '-I 2b 2'
_cell_length_a 7.533
_cell_length_b 9.366
_cell_length_c 6.801
_cell_angle_alpha 90.00
_cell_angle_beta 90.00
_cell_angle_gamma 90.00
loop_
_atom_site_label
_atom_site_type_symbol
_atom_site_fract_x
_atom_site_fract_y
_atom_site_fract_z
_atom_site_occupancy
Ho1 Ho 0.000 0.250 0.006 1
Sc1 Sc 0.000 0.250 0.509 1
Sc2 Sc 0.250 0.014 0.250 1
Co1 Co 0.250 0.250 0.750 1
# - N(E_F): 25.7 states/eV per cell
# - Formation enthalpy at 0 K: -44 meV/atom
# - Crystal system: orthorhombic
# - DFT total energy: -6.180 eV per atom

***

# KRh2W (GGA-PBE, relaxed)
data_KRh2W
_space_group_name_H-M_alt 'P 4 m m'
_space_group_IT_number 99
_space_group_name_Hall 'P 4 -2'
_cell_length_a 3.384
_cell_length_b 3.384
_cell_length_c 7.759
_cell_angle_alpha 90.00
_cell_angle_beta 90.00
_cell_angle_gamma 90.00
loop_
_atom_site_label
_atom_site_type_symbol
_atom_site_fract_x
_atom_site_fract_y
_atom_site_fract_z
_atom_site_occupancy
K1 K 0.000 0.000 0.000 1
Rh1 Rh 0.000 0.000 0.508 1
Rh2 Rh 0.500 0.500 0.311 1
W1 W 0.500 0.500 0.618 1
# - N(E_F): 4.3 states/eV per cell
# - Formation enthalpy at 0 K: 724 meV/atom
# - Crystal system: tetragonal
# - DFT total energy: -6.464 eV per atom